Below is a relaxed PrMgS3 crystal, with properties calculated at the PBE level.

Magnetization ... 0.001 μB/f.u.
Fermi-level density of states ... 1.1591 states/eV per atom
Energy above the lowest structure with this stoichiometry ... 0.000 eV per atom

Cell and atoms, written as CIF:
```
data_PrMgS3
_chemical_formula_sum 'Pr6 Mg6 S18'
_cell_length_a 7.0147
_cell_length_b 7.0147
_cell_length_c 17.2766
_cell_angle_alpha 90.00
_cell_angle_beta 90.00
_cell_angle_gamma 120.00
_symmetry_space_group_name_H-M 'R -3'
_symmetry_Int_Tables_number 148
_symmetry_space_group_name_Hall '-R 3'
loop_
_atom_site_label
_atom_site_type_symbol
_atom_site_fract_x
_atom_site_fract_y
_atom_site_fract_z
_atom_site_occupancy
Pr1 Pr 0.0000 0.0000 0.1404 1
Mg1 Mg 0.0000 0.0000 0.3484 1
S1 S 0.0170 0.3822 0.9198 1
```

***

Below is a relaxed Pr4MgS7 crystal, with properties calculated at the PBE level.

Energy ... -6.037 eV/atom
Magnetization ... 0.000 μB/f.u.

Cell and atoms, written as CIF:
```
data_Pr4MgS7
_chemical_formula_sum 'Pr8 Mg2 S14'
_cell_length_a 13.0653
_cell_length_b 3.9858
_cell_length_c 11.8548
_cell_angle_alpha 90.00
_cell_angle_beta 105.79
_cell_angle_gamma 90.00
_symmetry_space_group_name_H-M 'C 1 m 1'
_symmetry_Int_Tables_number 8
loop_
_symmetry_equiv_pos_as_xyz
'x,y,z'
'x,-y,z'
'x+1/2,y+1/2,z'
'x+1/2,-y+1/2,z'
loop_
_atom_site_label
_atom_site_type_symbol
_atom_site_fract_x
_atom_site_fract_y
_atom_site_fract_z
_atom_site_occupancy
Pr1 Pr 0.0000 0.0000 0.0000 1
Pr2 Pr 0.0729 0.5000 0.3502 1
Pr3 Pr 0.1901 0.0000 0.7632 1
Pr4 Pr 0.3805 0.5000 0.5553 1
Mg1 Mg 0.2712 0.5000 0.1419 1
S1 S 0.0420 0.5000 0.6161 1
S2 S 0.1335 0.5000 0.9292 1
S3 S 0.1607 0.0000 0.2123 1
S4 S 0.2178 0.0000 0.5116 1
S5 S 0.3460 0.5000 0.7798 1
S6 S 0.3861 0.0000 0.0796 1
S7 S 0.4166 0.5000 0.3349 1
```

***

Below is a relaxed Pr3MgS crystal, with properties calculated at the PBE level.

Energy ... -4.721 eV/atom
Magnetization ... 0.000 μB/f.u.
Fermi-level density of states ... 0.7956 states/eV per atom

Cell and atoms, written as CIF:
```
data_Pr3MgS
_chemical_formula_sum 'Pr3 Mg1 S1'
_cell_length_a 5.4956
_cell_length_b 5.4956
_cell_length_c 5.4956
_cell_angle_alpha 90.00
_cell_angle_beta 90.00
_cell_angle_gamma 90.00
_symmetry_space_group_name_H-M 'P m -3 m'
_symmetry_Int_Tables_number 221
_symmetry_space_group_name_Hall '-P 4 2 3'
loop_
_atom_site_label
_atom_site_type_symbol
_atom_site_fract_x
_atom_site_fract_y
_atom_site_fract_z
_atom_site_occupancy
Pr1 Pr 0.0000 0.0000 0.5000 1
Mg1 Mg 0.5000 0.5000 0.5000 1
S1 S 0.0000 0.0000 0.0000 1
```

***

Below is a relaxed Sr3Pr3MgS8 crystal, with properties calculated at the PBE level.

Energy ... -5.553 eV/atom
Magnetization ... 0.000 μB/f.u.
Fermi-level density of states ... 0.2594 states/eV per atom

Cell and atoms, written as CIF:
```
data_Sr3Pr3MgS8
_chemical_formula_sum 'Sr9 Pr9 Mg3 S24'
_cell_length_a 8.2167
_cell_length_b 8.2167
_cell_length_c 20.7474
_cell_angle_alpha 90.00
_cell_angle_beta 90.00
_cell_angle_gamma 120.00
_symmetry_space_group_name_H-M 'R -3 m'
_symmetry_Int_Tables_number 166
_symmetry_space_group_name_Hall '-R 3 2"'
loop_
_atom_site_label
_atom_site_type_symbol
_atom_site_fract_x
_atom_site_fract_y
_atom_site_fract_z
_atom_site_occupancy
Sr1 Sr 0.0000 0.5000 0.0000 1
Pr1 Pr 0.0000 0.5000 0.5000 1
Mg1 Mg 0.0000 0.0000 0.5000 1
S1 S 0.0000 0.0000 0.2471 1
S2 S 0.0180 0.5090 0.2409 1
```

***

Below is a relaxed Tb3Pr3MgS8 crystal, with properties calculated at the PBE level.

Energy ... -6.159 eV/atom
Magnetization ... 0.000 μB/f.u.
Fermi-level density of states ... 0.1854 states/eV per atom

Cell and atoms, written as CIF:
```
data_Tb3Pr3MgS8
_chemical_formula_sum 'Tb9 Pr9 Mg3 S24'
_cell_length_a 7.9256
_cell_length_b 7.9256
_cell_length_c 19.8203
_cell_angle_alpha 90.00
_cell_angle_beta 90.00
_cell_angle_gamma 120.00
_symmetry_space_group_name_H-M 'R -3 m'
_symmetry_Int_Tables_number 166
_symmetry_space_group_name_Hall '-R 3 2"'
loop_
_atom_site_label
_atom_site_type_symbol
_atom_site_fract_x
_atom_site_fract_y
_atom_site_fract_z
_atom_site_occupancy
Tb1 Tb 0.0000 0.5000 0.0000 1
Pr1 Pr 0.0000 0.5000 0.5000 1
Mg1 Mg 0.0000 0.0000 0.0000 1
S1 S 0.0000 0.0000 0.2552 1
S2 S 0.0102 0.5051 0.7426 1
```

***

Below is a relaxed Pr2MgSb4 crystal, with properties calculated at the PBE level.

Energy ... -4.712 eV/atom
Magnetization ... 0.000 μB/f.u.
Fermi-level density of states ... 0.3301 states/eV per atom

Cell and atoms, written as CIF:
```
data_Pr2MgSb4
_chemical_formula_sum 'Pr2 Mg1 Sb4'
_cell_length_a 4.3308
_cell_length_b 4.3308
_cell_length_c 11.3352
_cell_angle_alpha 90.00
_cell_angle_beta 90.00
_cell_angle_gamma 90.00
_symmetry_space_group_name_H-M 'P -4 m 2'
_symmetry_Int_Tables_number 115
loop_
_symmetry_equiv_pos_as_xyz
'x,y,z'
'y,-x,-z'
'-x,-y,z'
'-y,x,-z'
'-x,y,z'
'-y,-x,-z'
'x,-y,z'
'y,x,-z'
loop_
_atom_site_label
_atom_site_type_symbol
_atom_site_fract_x
_atom_site_fract_y
_atom_site_fract_z
_atom_site_occupancy
Pr1 Pr 0.0000 0.5000 0.2297 1
Mg1 Mg 0.0000 0.0000 0.5000 1
Sb1 Sb 0.0000 0.0000 0.0000 1
Sb2 Sb 0.0000 0.5000 0.6674 1
Sb3 Sb 0.5000 0.5000 0.0000 1
```